Computed, not measured: a PBEsol-optimized structure of Rb3TaNi at the meta-GGA SCAN level of DFT.

Cell and atoms, written as CIF:
```
data_Rb3TaNi
_cell_length_a 6.687
_cell_length_b 6.687
_cell_length_c 6.687
_cell_angle_alpha 90.00
_cell_angle_beta 90.00
_cell_angle_gamma 90.00
_symmetry_space_group_name_H-M 'P 1'
_symmetry_Int_Tables_number 1
loop_
_symmetry_equiv_pos_as_xyz
'x,y,z'
loop_
_atom_site_label
_atom_site_type_symbol
_atom_site_fract_x
_atom_site_fract_y
_atom_site_fract_z
_atom_site_occupancy
Ta1 Ta 0.000 0.000 0.000 1
Rb1 Rb 0.500 0.000 0.000 1
Rb2 Rb 0.000 0.000 0.500 1
Ni1 Ni 0.500 0.500 0.500 1
Rb3 Rb 0.000 0.500 0.000 1
```

Output
- formation enthalpy at 0 K (eV/atom) = 1.88
- space group = Pm-3m (221)
- M_tot (μB per cell) = 4.0